The following is a DFT calculation (PBE-GGA) of crystalline Y3Ga5S12 at its relaxed geometry.

Space-group type: Ia-3d, No. 230
ΔE_f (raw) (eV per atom): -1.16

a b c (Å): 13.0532 13.0532 13.0532
angles (deg): 109.47 109.47 109.47
Last column: nearest neighbours and their distance in Å.
Fractional positions:
Y  0.7500  0.3750  0.1250  8 S 2.87-2.93
Y  0.8750  0.7500  0.1250  8 S 2.87-2.93
Y  0.3750  0.7500  0.6250  8 S 2.87-2.93
Y  0.2500  0.1250  0.3750  8 S 2.87-2.93
Y  0.8750  0.1250  0.2500  8 S 2.87-2.93
Y  0.3750  0.6250  0.2500  8 S 2.87-2.93
Y  0.6250  0.3750  0.7500  8 S 2.87-2.93
Y  0.1250  0.8750  0.7500  8 S 2.87-2.93
Y  0.7500  0.8750  0.6250  8 S 2.87-2.93
Y  0.6250  0.2500  0.3750  8 S 2.87-2.93
Y  0.1250  0.2500  0.8750  8 S 2.87-2.93
Y  0.2500  0.6250  0.8750  8 S 2.87-2.93
Ga  0.1250  0.3750  0.2500  4 S 2.29
Ga  0.0000  0.5000  0.0000  6 S 2.47
Ga  0.0000  0.0000  0.0000  6 S 2.47
Ga  0.3750  0.2500  0.1250  4 S 2.29
Ga  0.5000  0.0000  0.5000  6 S 2.47
Ga  0.5000  0.5000  0.0000  6 S 2.47
Ga  0.1250  0.7500  0.3750  4 S 2.29
Ga  0.7500  0.1250  0.8750  4 S 2.29
Ga  0.7500  0.6250  0.3750  4 S 2.29
Ga  0.3750  0.1250  0.7500  4 S 2.29
Ga  0.6250  0.8750  0.2500  4 S 2.29
Ga  0.5000  0.5000  0.5000  6 S 2.47
Ga  0.5000  0.0000  0.0000  6 S 2.47
Ga  0.0000  0.0000  0.5000  6 S 2.47
Ga  0.2500  0.3750  0.6250  4 S 2.29
Ga  0.2500  0.8750  0.1250  4 S 2.29
Ga  0.0000  0.5000  0.5000  6 S 2.47
Ga  0.8750  0.2500  0.6250  4 S 2.29
Ga  0.6250  0.7500  0.8750  4 S 2.29
Ga  0.8750  0.6250  0.7500  4 S 2.29
S  0.7096  0.1242  0.0328  2 Ga 2.29-2.47
S  0.3233  0.5328  0.4086  2 Ga 2.29-2.47
S  0.9672  0.3758  0.2904  2 Ga 2.29-2.47
S  0.5328  0.2096  0.1242  2 Ga 2.29-2.47
S  0.5853  0.7096  0.6767  2 Ga 2.29-2.47
S  0.9672  0.5914  0.1767  2 Ga 2.29-2.47
S  0.3233  0.7904  0.4147  2 Ga 2.29-2.47
S  0.0914  0.9147  0.1242  2 Ga 2.29-2.47
S  0.5914  0.9672  0.6767  2 Ga 2.29-2.47
S  0.7096  0.5853  0.1767  2 Ga 2.29-2.47
S  0.7904  0.4672  0.3758  2 Ga 2.29-2.47
S  0.8233  0.9086  0.0328  2 Ga 2.29-2.47
S  0.1242  0.7096  0.5328  2 Ga 2.29-2.47
S  0.3758  0.4086  0.0853  2 Ga 2.29-2.47
S  0.0853  0.9086  0.3758  2 Ga 2.29-2.47
S  0.4147  0.1242  0.5914  2 Ga 2.29-2.47
S  0.0853  0.1767  0.2096  2 Ga 2.29-2.47
S  0.4672  0.6767  0.0914  2 Ga 2.29-2.47
S  0.8233  0.9147  0.2904  2 Ga 2.29-2.47
S  0.1242  0.4147  0.0914  2 Ga 2.29-2.47
S  0.3758  0.9672  0.7904  2 Ga 2.29-2.47
S  0.5914  0.6242  0.4147  2 Ga 2.29-2.47
S  0.9086  0.8233  0.5328  2 Ga 2.29-2.47
S  0.7904  0.3233  0.9147  2 Ga 2.29-2.47
S  0.4086  0.3758  0.5853  2 Ga 2.29-2.47
S  0.0914  0.1767  0.4672  2 Ga 2.29-2.47
S  0.2096  0.6767  0.0853  2 Ga 2.29-2.47
S  0.1767  0.0853  0.7096  2 Ga 2.29-2.47
S  0.6242  0.0328  0.2096  2 Ga 2.29-2.47
S  0.8758  0.5853  0.9086  2 Ga 2.29-2.47
S  0.5328  0.3233  0.9086  2 Ga 2.29-2.47
S  0.5853  0.8758  0.4086  2 Ga 2.29-2.47
S  0.9147  0.8233  0.7904  2 Ga 2.29-2.47
S  0.9147  0.0914  0.6242  2 Ga 2.29-2.47
S  0.8758  0.2904  0.4672  2 Ga 2.29-2.47
S  0.1767  0.0914  0.9672  2 Ga 2.29-2.47
S  0.6242  0.5914  0.9147  2 Ga 2.29-2.47
S  0.4086  0.0328  0.3233  2 Ga 2.29-2.47
S  0.2904  0.4147  0.8233  2 Ga 2.29-2.47
S  0.2096  0.5328  0.6242  2 Ga 2.29-2.47
S  0.9086  0.0853  0.8758  2 Ga 2.29-2.47
S  0.6767  0.2096  0.5853  2 Ga 2.29-2.47
S  0.4672  0.7904  0.8758  2 Ga 2.29-2.47
S  0.0328  0.4086  0.8233  2 Ga 2.29-2.47
S  0.4147  0.2904  0.3233  2 Ga 2.29-2.47
S  0.0328  0.6242  0.7096  2 Ga 2.29-2.47
S  0.6767  0.4672  0.5914  2 Ga 2.29-2.47
S  0.2904  0.8758  0.9672  2 Ga 2.29-2.47

***

The following is a DFT calculation (PBE-GGA) of crystalline BaHf3Cl at its relaxed geometry.

Space-group type: Pm-3m, No. 221
Relative energy among the computed polymorphs (meV/atom): 1691
ΔE_f (raw) (eV per atom): 2.09

a b c (Å): 5.4549 5.4549 5.4549
angles (deg): 90.00 90.00 90.00
Last column: nearest neighbours and their distance in Å.
Fractional positions:
Hf  0.0000  0.5000  0.0000  2 Ba 2.73
Hf  0.0000  0.0000  0.5000  2 Ba 2.73
Hf  0.5000  0.0000  0.0000  2 Ba 2.73
Ba  0.0000  0.0000  0.0000  6 Hf 2.73
Cl  0.5000  0.5000  0.5000  12 Hf 3.86

***

The following is a DFT calculation (PBE-GGA) of crystalline Mg2ScW at its relaxed geometry.

Calculated formation energy (meV/atom): 308
Space-group type: Pm, No. 6
Relative energy among the computed polymorphs (meV/atom): 119

a b c (Å): 4.3640 2.9253 6.7957
angles (deg): 65.18 90.00 90.00
Last column: nearest neighbours and their distance in Å.
Fractional positions:
Mg  0.0000  0.0116  0.9911  1 Sc 2.87, 6 Mg 2.93-3.07, 4 W 3.05-3.06
Mg  0.5000  0.2533  0.2446  6 Mg 2.93-3.07, 2 W 3.04-3.12, 4 Sc 3.14-3.16
Sc  0.0000  0.4710  0.5262  5 Mg 2.87-3.16, 2 Sc 2.93, 4 W 2.93
W  0.5000  0.7640  0.7381  2 W 2.93, 4 Sc 2.93, 6 Mg 3.04-3.12

***

The following is a DFT calculation (PBE-GGA) of crystalline CaZrZn2 at its relaxed geometry.

Calculated formation energy (meV/atom): -205
Space-group type: P4/mmm, No. 123

a b c (Å): 3.4722 3.4673 7.8786
angles (deg): 63.92 90.00 90.00
Last column: nearest neighbours and their distance in Å.
Fractional positions:
Zn  0.0000  0.9644  0.0350  4 Zr 2.89, 1 Zn 3.04, 4 Ca 3.17-3.18
Zn  0.0000  0.5356  0.4650  4 Zr 2.89, 1 Zn 3.04, 4 Ca 3.17-3.18
Ca  0.5000  0.7500  0.7500  8 Zn 3.17-3.18, 4 Ca 3.47, 2 Zr 3.54
Zr  0.5000  0.2500  0.2500  8 Zn 2.89

***

The following is a DFT calculation (PBE-GGA) of crystalline AlPdO2 at its relaxed geometry.

Space-group type: Cc, No. 9
ΔE_f (raw) (eV per atom): -1.86

a b c (Å): 2.8385 5.1598 6.3156
angles (deg): 105.94 77.02 90.00
Last column: nearest neighbours and their distance in Å.
Fractional positions:
Pd  0.0334  0.8859  0.3367  2 O 2.09
Pd  0.0354  0.3859  0.3367  2 O 2.09
Al  0.0343  0.8860  0.8368  6 O 1.87-1.97
Al  0.5344  0.3860  0.8368  6 O 1.87-1.97
O  0.9778  0.2721  0.9995  3 Al 1.87-1.97, 1 Pd 2.09
O  0.0913  0.4998  0.6741  3 Al 1.87-1.97, 1 Pd 2.09
O  0.4282  0.7721  0.9996  3 Al 1.87-1.97, 1 Pd 2.09
O  0.6402  0.9998  0.6740  3 Al 1.87-1.97, 1 Pd 2.09

***

The following is a DFT calculation (PBE-GGA) of crystalline LaPdAu2 at its relaxed geometry.

Calculated formation energy (meV/atom): -468
Space-group type: I-42d, No. 122
Relative energy among the computed polymorphs (meV/atom): 287

a b c (Å): 4.1619 4.1619 10.8158
angles (deg): 78.91 78.91 90.00
Last column: nearest neighbours and their distance in Å.
Fractional positions:
Au  0.5983  0.1250  0.2500  4 Au 2.79-3.10, 2 Pd 2.95, 2 La 3.03
Au  0.1517  0.6250  0.2500  4 Au 2.79-3.10, 2 Pd 2.95, 2 La 3.03
Au  0.3750  0.4017  0.7500  4 Au 2.79-3.10, 2 Pd 2.95, 2 La 3.03
Au  0.8750  0.8483  0.7500  4 Au 2.79-3.10, 2 Pd 2.95, 2 La 3.03
Pd  0.5000  0.5000  0.0000  4 La 2.94, 4 Au 2.95
Pd  0.2500  0.7500  0.5000  4 La 2.94, 4 Au 2.95
La  0.0000  0.0000  0.0000  4 Pd 2.94, 4 Au 3.03
La  0.7500  0.2500  0.5000  4 Pd 2.94, 4 Au 3.03

***

The following is a DFT calculation (PBE-GGA) of crystalline TePb3Cl4O3 at its relaxed geometry.

Space-group type: Pna2_1, No. 33
ΔE_f (raw) (eV per atom): -1.18

a b c (Å): 7.7168 8.6726 16.2723
angles (deg): 90.00 90.00 90.00
Last column: nearest neighbours and their distance in Å.
Fractional positions:
Te  0.1514  0.0718  0.0229  3 O 1.90-1.92
Te  0.8486  0.5718  0.9771  3 O 1.90-1.92
Te  0.3486  0.5718  0.5229  3 O 1.90-1.92
Te  0.6514  0.0718  0.4771  3 O 1.90-1.92
Pb  0.7189  0.1444  0.9742  3 O 2.39-2.54
Pb  0.2811  0.6444  0.0258  3 O 2.39-2.54
Pb  0.7811  0.6444  0.4742  3 O 2.39-2.54
Pb  0.2189  0.1444  0.5258  3 O 2.39-2.54
Pb  0.9469  0.8754  0.1915  1 O 2.44
Pb  0.0531  0.3754  0.8085  1 O 2.44
Pb  0.5531  0.3754  0.6915  1 O 2.44
Pb  0.4469  0.8754  0.3085  1 O 2.44
Pb  0.9363  0.3657  0.1821  2 O 2.42-2.47
Pb  0.0637  0.8657  0.8179  2 O 2.42-2.47
Pb  0.5637  0.8657  0.6821  2 O 2.42-2.47
Pb  0.4363  0.3657  0.3179  2 O 2.42-2.47
Cl  0.6143  0.3777  0.0997  2 Pb 2.83-2.99
Cl  0.3857  0.8777  0.9003  2 Pb 2.83-2.99
Cl  0.8857  0.8777  0.5997  2 Pb 2.83-2.99
Cl  0.1143  0.3777  0.4003  2 Pb 2.83-2.99
Cl  0.6572  0.8574  0.0918  1 Pb 2.77
Cl  0.3428  0.3574  0.9082  1 Pb 2.77
Cl  0.8428  0.3574  0.5918  1 Pb 2.77
Cl  0.1572  0.8574  0.4082  1 Pb 2.77
Cl  0.7487  0.6189  0.2814  5 Pb 3.07-3.31, 2 O 3.17-3.40
Cl  0.2513  0.1189  0.7186  5 Pb 3.07-3.31, 2 O 3.17-3.40
Cl  0.7513  0.1189  0.7814  5 Pb 3.07-3.31, 2 O 3.17-3.40
Cl  0.2487  0.6189  0.2186  5 Pb 3.07-3.31, 2 O 3.17-3.40
Cl  0.7487  0.1198  0.2791  4 Pb 2.98-3.28, 1 O 3.20
Cl  0.2513  0.6198  0.7209  4 Pb 2.98-3.28, 1 O 3.20
Cl  0.7513  0.6198  0.7791  4 Pb 2.98-3.28, 1 O 3.20
Cl  0.2487  0.1198  0.2209  4 Pb 2.98-3.28, 1 O 3.20
O  0.9553  0.1503  0.0828  1 Te 1.92
O  0.0447  0.6503  0.9172  1 Te 1.92
O  0.5447  0.6503  0.5828  1 Te 1.92
O  0.4553  0.1503  0.4172  1 Te 1.92
O  0.0065  0.0437  0.9289  1 Te 1.91
O  0.9935  0.5437  0.0711  1 Te 1.91
O  0.4935  0.5437  0.4289  1 Te 1.91
O  0.5065  0.0437  0.5711  1 Te 1.91
O  0.1299  0.8708  0.0689  1 Te 1.90
O  0.8701  0.3708  0.9311  1 Te 1.90
O  0.3701  0.3708  0.5689  1 Te 1.90
O  0.6299  0.8708  0.4311  1 Te 1.90

***

The following is a DFT calculation (PBE-GGA) of crystalline Li12Ag2Au at its relaxed geometry.

Calculated formation energy (meV/atom): -5
Space-group type: P4/nbm, No. 125

a b c (Å): 5.4019 5.4019 20.0433
angles (deg): 90.00 90.00 90.00
Last column: nearest neighbours and their distance in Å.
Fractional positions:
Li  0.5000  0.5000  0.7877  1 Li 2.54
Li  0.0000  0.0000  0.7877  1 Li 2.54
Li  0.7501  0.7499  0.9112  2 Au 2.61, 4 Li 2.70
Li  0.2501  0.7501  0.9112  2 Au 2.61, 4 Li 2.70
Li  0.0000  0.0000  0.3390  5 Li 2.54-2.78, 4 Ag 2.76
Li  0.2499  0.7499  0.0888  2 Au 2.61, 4 Li 2.70
Li  0.8157  0.3157  0.5631  8 Li 2.72-2.82, 1 Ag 2.90
Li  0.5000  0.5000  0.3390  5 Li 2.54-2.78, 4 Ag 2.76
Li  0.2499  0.2501  0.9112  2 Au 2.61, 4 Li 2.70
Li  0.7499  0.7501  0.0888  2 Au 2.61, 4 Li 2.70
Li  0.3157  0.1843  0.5631  8 Li 2.72-2.82, 1 Ag 2.90
Li  0.6843  0.1843  0.4369  8 Li 2.72-2.82, 1 Ag 2.90
Li  0.0000  0.0000  0.6610  5 Li 2.54-2.78, 4 Ag 2.76
Li  0.1843  0.3157  0.4369  8 Li 2.72-2.82, 1 Ag 2.90
Li  0.2501  0.2499  0.0888  2 Au 2.61, 4 Li 2.70
Li  0.8157  0.6843  0.4369  8 Li 2.72-2.82, 1 Ag 2.90
Li  0.6843  0.8157  0.5631  8 Li 2.72-2.82, 1 Ag 2.90
Li  0.0000  0.0000  0.2123  1 Li 2.54
Li  0.1843  0.6843  0.5631  8 Li 2.72-2.82, 1 Ag 2.90
Li  0.5000  0.5000  0.6610  5 Li 2.54-2.78, 4 Ag 2.76
Li  0.7499  0.2499  0.9112  2 Au 2.61, 4 Li 2.70
Li  0.5000  0.5000  0.2123  1 Li 2.54
Li  0.3157  0.8157  0.4369  8 Li 2.72-2.82, 1 Ag 2.90
Li  0.7501  0.2501  0.0888  2 Au 2.61, 4 Li 2.70
Ag  0.5000  0.0000  0.3104  6 Li 2.76-2.90
Ag  0.0000  0.5000  0.3104  6 Li 2.76-2.90
Ag  0.0000  0.5000  0.6896  6 Li 2.76-2.90
Ag  0.5000  0.0000  0.6896  6 Li 2.76-2.90
Au  0.5000  0.0000  0.0000  8 Li 2.61
Au  0.0000  0.5000  0.0000  8 Li 2.61

***

The following is a DFT calculation (PBE-GGA) of crystalline Pm5In2Au12 at its relaxed geometry.

Calculated formation energy (meV/atom): -596
Space-group type: C2/m, No. 12

a b c (Å): 7.2225 7.4995 8.8209
angles (deg): 64.84 88.40 90.00
Last column: nearest neighbours and their distance in Å.
Fractional positions:
Pm  0.5662  0.7520  0.4961  10 Au 3.04-3.37
Pm  0.0476  0.6946  0.6109  8 Au 3.08-3.26
Pm  0.5000  0.0000  0.0000  8 Au 3.03-3.35
Pm  0.9524  0.3054  0.3891  8 Au 3.08-3.26
Pm  0.4338  0.2480  0.5039  10 Au 3.04-3.37
In  0.0000  0.7420  0.0000  8 Au 2.85-3.16
In  0.0000  0.2580  0.0000  8 Au 2.85-3.16
Au  0.1067  0.1233  0.7534  2 In 2.85, 4 Au 2.95-2.99, 2 Pm 3.04-3.15
Au  0.7513  0.3459  0.6879  4 Au 2.85-3.04, 3 Pm 3.10-3.11, 1 In 3.16
Au  0.7513  0.9662  0.6879  4 Au 2.85-3.04, 3 Pm 3.10-3.11, 1 In 3.16
Au  0.3604  0.4104  0.7883  5 Au 2.93-3.06, 4 Pm 3.03-3.25, 1 In 3.08
Au  0.3604  0.8013  0.7883  5 Au 2.93-3.06, 4 Pm 3.03-3.25, 1 In 3.08
Au  0.7110  0.5535  0.8931  6 Au 2.85-3.06, 2 In 2.91
Au  0.2890  0.4465  0.1069  6 Au 2.85-3.06, 2 In 2.91
Au  0.6396  0.5896  0.2117  5 Au 2.93-3.06, 4 Pm 3.03-3.25, 1 In 3.08
Au  0.6396  0.1987  0.2117  5 Au 2.93-3.06, 4 Pm 3.03-3.25, 1 In 3.08
Au  0.2487  0.6541  0.3121  4 Au 2.85-3.04, 3 Pm 3.10-3.11, 1 In 3.16
Au  0.2487  0.0338  0.3121  4 Au 2.85-3.04, 3 Pm 3.10-3.11, 1 In 3.16
Au  0.8933  0.8767  0.2466  2 In 2.85, 4 Au 2.95-2.99, 2 Pm 3.04-3.15

***

The following is a DFT calculation (PBE-GGA) of crystalline PmNd3Si2 at its relaxed geometry.

Space-group type: C2/m, No. 12
Relative energy among the computed polymorphs (meV/atom): 0
ΔE_f (raw) (eV per atom): -0.47

a b c (Å): 3.8715 8.8611 10.7880
angles (deg): 71.96 79.66 77.38
Last column: nearest neighbours and their distance in Å.
Fractional positions:
Pm  0.8488  0.5664  0.7360  4 Si 3.04-3.19
Pm  0.1512  0.4336  0.2640  4 Si 3.04-3.19
Nd  0.1495  0.9354  0.7655  4 Si 3.06-3.21
Nd  0.8505  0.0646  0.2345  4 Si 3.06-3.21
Nd  0.4238  0.2255  0.9270  3 Si 3.04-3.19
Nd  0.5762  0.7745  0.0730  3 Si 3.04-3.19
Nd  0.5758  0.2772  0.5712  3 Si 3.05-3.21
Nd  0.4242  0.7228  0.4288  3 Si 3.05-3.21
Si  0.2315  0.5843  0.9527  2 Si 2.46
Si  0.7685  0.4157  0.0473  2 Si 2.46
Si  0.7685  0.9156  0.5475  2 Si 2.46
Si  0.2315  0.0844  0.4525  2 Si 2.46

***

The following is a DFT calculation (PBE-GGA) of crystalline Sm2ThZr at its relaxed geometry.

Calculated formation energy (meV/atom): 320
Space-group type: R-3m, No. 166
Relative energy among the computed polymorphs (meV/atom): 210

a b c (Å): 3.4352 3.4352 12.1802
angles (deg): 81.89 81.89 60.00
Last column: nearest neighbours and their distance in Å.
Fractional positions:
Zr  0.0000  0.0000  0.0000  2 Sm 3.14, 6 Zr 3.44
Sm  0.0871  0.0871  0.7388  1 Zr 3.14, 6 Sm 3.44, 3 Th 3.49
Sm  0.9129  0.9129  0.2612  1 Zr 3.14, 6 Sm 3.44, 3 Th 3.49
Th  0.5000  0.5000  0.5000  6 Th 3.44, 6 Sm 3.49

***

The following is a DFT calculation (PBE-GGA) of crystalline Ca3PPb at its relaxed geometry.

Calculated formation energy (meV/atom): 92
Space-group type: Pm-3m, No. 221
Relative energy among the computed polymorphs (meV/atom): 834

a b c (Å): 5.8146 5.8146 5.8146
angles (deg): 90.00 90.00 90.00
Last column: nearest neighbours and their distance in Å.
Fractional positions:
Pb  0.0000  0.0000  0.0000  6 Ca 2.91
P  0.5000  0.5000  0.5000  12 Ca 4.11
Ca  0.0000  0.5000  0.0000  2 Pb 2.91
Ca  0.0000  0.0000  0.5000  2 Pb 2.91
Ca  0.5000  0.0000  0.0000  2 Pb 2.91

***

Ordered mass density results: 3.88, 7.25, 5.85, 5.11, 6.35, 11.78, 5.73, 2.82, 12.75, 6.18, 8.44, 3.03; unit g cm⁻³.
Ordered calculated volume results: 21.4, 32.5, 19.7, 21.3, 10.8, 22.5, 24.8, 19.5, 22.8, 28.4, 30.7, 39.3; unit Å³/atom.